No. 1
Computed, not measured: a relaxed structure of ScFe2Cu2 at the PBE level of DFT.

ΔE to the lowest computed polymorph ... 0.000 eV/atom
Spin magnetization ... 8.20 μB/cell
E ... -6.176 eV per atom
Density ... 6.850 Mg/m³

a b c (Å): 7.174 7.174 2.673
angles (deg): 90.00 90.00 90.00
Fractional positions:
Sc (0.000, 0.000, 0.000)
Sc (0.500, 0.500, 0.000)
Fe (0.116, 0.384, 0.000)
Fe (0.384, 0.884, 0.000)
Fe (0.616, 0.116, 0.000)
Fe (0.884, 0.616, 0.000)
Cu (0.178, 0.678, 0.500)
Cu (0.322, 0.178, 0.500)
Cu (0.678, 0.822, 0.500)
Cu (0.822, 0.322, 0.500)

=====

No. 2
Computed, not measured: a relaxed structure of Sc2FeCu at the PBE level of DFT.

ΔE to the lowest computed polymorph ... 0.169 eV/atom
Spin magnetization ... 1.16 μB/cell
E ... -6.339 eV per atom
Density ... 5.127 Mg/m³

a b c (Å): 5.617 5.617 5.617
angles (deg): 147.94 133.44 57.65
Fractional positions:
Sc (0.000, 0.000, 0.000)
Sc (0.709, 0.209, 0.500)
Fe (0.465, 0.465, 0.000)
Cu (0.266, 0.766, 0.500)

=====

No. 3
Computed, not measured: a relaxed structure of Sc5FeCu4 at the PBE level of DFT.

Spin magnetization ... 0.00 μB/cell
E ... -5.897 eV per atom
Density ... 5.277 Mg/m³

a b c (Å): 3.212 3.212 16.310
angles (deg): 90.00 90.00 90.00
Fractional positions:
Sc (0.000, 0.000, 0.000)
Sc (0.000, 0.000, 0.204)
Sc (0.000, 0.000, 0.409)
Sc (0.000, 0.000, 0.591)
Sc (0.000, 0.000, 0.796)
Fe (0.500, 0.500, 0.500)
Cu (0.500, 0.500, 0.101)
Cu (0.500, 0.500, 0.304)
Cu (0.500, 0.500, 0.696)
Cu (0.500, 0.500, 0.899)

=====

No. 4
Computed, not measured: a relaxed structure of Sc2FeCu at the PBE level of DFT.

ΔE to the lowest computed polymorph ... 0.562 eV/atom
Spin magnetization ... 0.00 μB/cell
E ... -5.946 eV per atom
Density ... 4.841 Mg/m³

a b c (Å): 9.201 9.201 9.201
angles (deg): 18.95 18.95 18.95
Fractional positions:
Sc (0.098, 0.098, 0.098)
Sc (0.902, 0.902, 0.902)
Fe (0.500, 0.500, 0.500)
Cu (0.000, 0.000, 0.000)